Ba2CaP after structural relaxation, computed with PBE.

```
data_Ba2CaP
_chemical_formula_sum 'Ba8 Ca4 P4'
_symmetry_space_group_name_H-M 'I -4 2 d'
_symmetry_Int_Tables_number 122
_symmetry_space_group_name_Hall 'I -4 2bw'
_cell_length_a 11.844
_cell_length_b 11.844
_cell_length_c 5.585
_cell_angle_alpha 90.00
_cell_angle_beta 90.00
_cell_angle_gamma 90.00
loop_
_atom_site_label
_atom_site_type_symbol
_atom_site_fract_x
_atom_site_fract_y
_atom_site_fract_z
Ba1 Ba 0.093 0.750 0.125
Ca1 Ca 0.000 0.000 0.500
P1 P 0.000 0.000 0.000
```

## Properties
calculated volume	783.43	Å³ per cell
VASP energy	-3.2657	eV/atom

=====

CuTeBr after structural relaxation, computed with PBE.

```
data_CuTeBr
_chemical_formula_sum 'Cu4 Te4 Br4'
_symmetry_space_group_name_H-M 'F -4 3 m'
_symmetry_Int_Tables_number 216
_symmetry_space_group_name_Hall 'F -4 2 3'
_cell_length_a 6.685
_cell_length_b 6.685
_cell_length_c 6.685
_cell_angle_alpha 90.00
_cell_angle_beta 90.00
_cell_angle_gamma 90.00
loop_
_atom_site_label
_atom_site_type_symbol
_atom_site_fract_x
_atom_site_fract_y
_atom_site_fract_z
Cu1 Cu 0.000 0.000 0.000
Te1 Te 0.250 0.250 0.750
Br1 Br 0.250 0.250 0.250
```

## Properties
calculated volume	298.72	Å³ per cell
raw formation energy	0.3692	eV per atom
VASP energy	-2.6010	eV/atom

=====

Tm3MnRh8 after structural relaxation, computed with PBE.

```
data_Tm3MnRh8
_chemical_formula_sum 'Tm9 Mn3 Rh24'
_symmetry_space_group_name_H-M 'R 3 m'
_symmetry_Int_Tables_number 160
_symmetry_space_group_name_Hall 'R 3 -2"'
_cell_length_a 5.2541
_cell_length_b 5.2541
_cell_length_c 25.7931
_cell_angle_alpha 90.00
_cell_angle_beta 90.00
_cell_angle_gamma 120.00
loop_
_atom_site_label
_atom_site_type_symbol
_atom_site_fract_x
_atom_site_fract_y
_atom_site_fract_z
Tm1 Tm 0.0000 0.0000 0.0000
Tm2 Tm 0.0000 0.0000 0.1286
Tm3 Tm 0.0000 0.0000 0.6184
Mn1 Mn 0.0000 0.0000 0.4955
Rh1 Rh 0.0000 0.0000 0.3120
Rh2 Rh 0.0000 0.0000 0.8122
Rh3 Rh 0.0005 0.5003 0.0627
Rh4 Rh 0.0007 0.5003 0.5613
```

## Properties
calculated volume	616.65	Å³ per cell
VASP energy	-7.3539	eV/atom

=====

Ca6Mg2Tl after structural relaxation, computed with PBE.

```
data_Ca6Mg2Tl
_chemical_formula_sum 'Ca6 Mg2 Tl1'
_symmetry_space_group_name_H-M 'P -3 m 1'
_symmetry_Int_Tables_number 164
_symmetry_space_group_name_Hall '-P 3 2"'
_cell_length_a 5.7297
_cell_length_b 5.7297
_cell_length_c 10.7223
_cell_angle_alpha 90.00
_cell_angle_beta 90.00
_cell_angle_gamma 120.00
loop_
_atom_site_label
_atom_site_type_symbol
_atom_site_fract_x
_atom_site_fract_y
_atom_site_fract_z
Ca1 Ca 0.0000 0.0000 0.1969
Ca2 Ca 0.3333 0.6667 0.0552
Ca3 Ca 0.3333 0.6667 0.4080
Mg1 Mg 0.3333 0.6667 0.7363
Tl1 Tl 0.0000 0.0000 0.5000
```

## Properties
calculated volume	304.79	Å³ per cell
VASP energy	-2.0666	eV/atom